one.
Computed, not measured: a geometry-optimized CrInRe structure at the PBEsol level of DFT.

Computed properties:
Its space-group type is F-43m, No. 216.

POSCAR file:
```
CrInRe
1.0
-3.806 -1.695 0.434
-1.859 -1.838 -3.273
-0.460 -4.163 -0.082
Cr In Re
1 1 1
Cartesian
-1.531 -1.924 -0.730 Cr
0.000 0.000 0.000 In
-3.063 -3.848 -1.460 Re
```

two.
Computed, not measured: a geometry-optimized CrInRe structure at the PBEsol level of DFT.

Computed properties:
Its space-group type is P3m1, No. 156.

POSCAR file:
```
CrInRe
1.0
-0.247 -0.385 2.829
2.587 -0.051 -1.233
0.570 6.458 0.929
Cr In Re
1 1 1
Cartesian
0.014 0.162 0.023 Cr
2.027 4.198 0.749 In
0.869 1.662 1.754 Re
```

Which one sits at the bottom of the stability order? one does.

one.
Computed, not measured: a geometry-optimized CrInTc structure at the PBEsol level of DFT.

Computed properties:
Its space-group type is P3m1, No. 156.

POSCAR file:
```
CrInTc
1.0
2.950 0.000 0.000
0.000 4.217 0.000
0.000 -2.108 3.652
Cr In Tc
1 1 1
Cartesian
0.294 0.000 0.000 Cr
1.999 2.108 1.217 In
0.657 0.000 2.435 Tc
```

two.
Computed, not measured: a geometry-optimized CrInTc structure at the PBEsol level of DFT.

Computed properties:
Its space-group type is F-43m, No. 216.

POSCAR file:
```
CrInTc
1.0
-0.236 4.184 -0.063
-2.268 1.927 -2.951
-3.585 1.912 1.028
Cr In Tc
1 1 1
Cartesian
-4.567 6.017 -1.489 Cr
0.000 0.000 0.000 In
-3.045 4.011 -0.993 Tc
```

Which one sits at the bottom of the stability order? two does.

one.
Computed, not measured: a geometry-optimized TlCr2In structure at the PBEsol level of DFT.

Computed properties:
Its space-group type is C2/m, No. 12.

POSCAR file:
```
TlCr2In
1.0
3.189 0.000 0.000
-1.594 4.455 0.002
0.000 -1.146 5.426
Cr In Tl
2 1 1
Cartesian
1.594 1.364 4.046 Cr
0.000 1.946 1.382 Cr
0.000 -0.573 2.713 In
1.594 0.000 0.000 Tl
```

two.
Computed, not measured: a geometry-optimized TlCr2In structure at the PBEsol level of DFT.

Computed properties:
Its space-group type is Pmm2, No. 25.

POSCAR file:
```
TlCr2In
1.0
3.132 0.000 0.000
0.000 4.187 0.000
0.000 0.000 5.737
Cr In Tl
2 1 1
Cartesian
0.000 0.000 5.668 Cr
1.566 2.094 1.532 Cr
0.000 0.000 2.646 In
1.566 2.094 4.497 Tl
```

Which one sits at the bottom of the stability order? two does.